# 1
An optimized crystal structure of ThNp2, computed with PBE.

```
ThNp2
1.0
-1.3939 1.5919 8.7155
6.9757 0.9764 5.5519
1.8951 8.0607 3.4454
Np Th
4 2
Direct
0.3750 0.3750 0.3750
0.3750 0.3750 0.8750
0.8750 0.3750 0.3750
0.3750 0.8750 0.3750
0.5000 0.5000 0.5000
0.2500 0.2500 0.2500
```

ΔH_f (0 K)   9.33 eV per formula unit

=====

# 2
An optimized crystal structure of LiGaNi, computed with PBE.

```
LiGaNi
1.0
1.9455 -2.8563 -2.0196
2.6084 -2.3700 1.8978
-0.8862 -3.8525 0.6282
Ga Li Ni
1 1 1
Direct
0.2500 0.2500 0.2500
0.7500 0.7500 0.7500
0.0000 0.0000 0.0000
```

E   -10.768 eV for the cell shown

=====

# 3
An optimized crystal structure of Lu2CdN, computed with PBE.

```
Lu2CdN
1.0
3.3982 0.0000 0.0000
-1.6991 2.9430 0.0000
0.0000 0.0000 15.4850
Lu Cd N
4 2 2
Direct
0.3333 0.6667 0.4152
0.3333 0.6667 0.0848
0.6667 0.3333 0.5848
0.6667 0.3333 0.9152
0.6667 0.3333 0.2500
0.3333 0.6667 0.7500
0.0000 0.0000 0.0000
0.0000 0.0000 0.5000
```

E   -44.299 eV for the cell shown

=====

# 4
An optimized crystal structure of ScHgO3, computed with PBE.

```
ScHgO3
1.0
2.8100 -1.6223 -4.7019
-2.8100 -1.6223 -4.7019
0.0000 3.2447 -4.7019
Hg O Sc
2 6 2
Direct
0.2500 0.2500 0.2500
0.7500 0.7500 0.7500
0.2500 0.6391 0.8609
0.6391 0.8609 0.2500
0.1391 0.7500 0.3609
0.3609 0.1391 0.7500
0.8609 0.2500 0.6391
0.7500 0.3609 0.1391
0.0000 0.0000 0.0000
0.5000 0.5000 0.5000
```

E   -59.101 eV for the cell shown

=====

| no. | spin magnetization (μB/cell) |
| --- | --- |
| 1 | 18.8 |
| 2 | 0.0 |
| 3 | 0.6 |
| 4 | 2.0 |